Record 1
A plane-wave DFT calculation with PBE-GGA was carried out for a relaxed Ho3Tl2Te6 crystal.

Results
**E**: -0.16306 Ha/atom
**Formation energy without anion corrections**: -1045 meV per atom
**Space-group type**: No. 12

a = 7.569 Å, b = 7.566 Å, c = 8.548 Å
α = 81.47°, β = 72.76°, γ = 59.99°
Positions (direct):
Ho: 0.000 0.000 0.000
Ho: 0.332 0.337 0.000
Ho: 0.668 0.663 0.000
Tl: 0.166 0.668 0.500
Tl: 0.834 0.332 0.500
Te: 0.406 0.667 0.784
Te: 0.738 0.000 0.787
Te: 0.073 0.333 0.784
Te: 0.262 0.000 0.213
Te: 0.594 0.333 0.216
Te: 0.927 0.667 0.216

=====

Record 2
A plane-wave DFT calculation with PBE-GGA was carried out for a relaxed Ho5Tl2Te2 crystal.

Results
**E**: -0.16566 Ha/atom
**Formation energy without anion corrections**: -741 meV per atom
**Space-group type**: No. 64

a = 8.074 Å, b = 8.053 Å, c = 8.757 Å
α = 117.37°, β = 90.00°, γ = 90.00°
Positions (direct):
Ho: 0.000 0.000 0.000
Ho: 0.500 0.500 0.000
Ho: 0.836 0.804 0.274
Ho: 0.164 0.470 0.274
Ho: 0.336 0.970 0.274
Ho: 0.664 0.304 0.274
Ho: 0.164 0.196 0.726
Ho: 0.836 0.530 0.726
Ho: 0.664 0.030 0.726
Ho: 0.336 0.696 0.726
Tl: 0.633 0.865 0.000
Tl: 0.367 0.135 0.000
Tl: 0.133 0.635 0.000
Tl: 0.867 0.365 0.000
Te: 0.000 0.202 0.403
Te: 0.500 0.702 0.403
Te: 0.000 0.798 0.597
Te: 0.500 0.298 0.597

=====

Record 3
A plane-wave DFT calculation with PBE-GGA was carried out for a relaxed Ho2TlTe4 crystal.

Results
**E**: -0.16384 Ha/atom
**Formation energy without anion corrections**: -1017 meV per atom
**Space-group type**: No. 141

a = 9.134 Å, b = 9.134 Å, c = 9.131 Å
α = 119.94°, β = 119.95°, γ = 90.12°
Positions (direct):
Ho: 0.625 0.375 0.750
Ho: 0.625 0.875 0.250
Ho: 0.625 0.375 0.250
Ho: 0.125 0.375 0.750
Tl: 0.250 0.750 0.500
Tl: 0.000 0.000 0.000
Te: 0.863 0.137 0.274
Te: 0.387 0.612 0.226
Te: 0.864 0.589 0.726
Te: 0.862 0.137 0.726
Te: 0.411 0.136 0.274
Te: 0.386 0.161 0.774
Te: 0.387 0.613 0.774
Te: 0.839 0.614 0.226

=====

Record 4
A plane-wave DFT calculation with PBE-GGA was carried out for a relaxed Ho4TlTe crystal.

Results
**Relative energy among the computed polymorphs**: 0 meV/atom
**E**: -0.16499 Ha/atom
**Formation energy without anion corrections**: -520 meV per atom
**Space-group type**: No. 11

a = 6.125 Å, b = 10.333 Å, c = 6.479 Å
α = 90.00°, β = 90.00°, γ = 123.79°
Positions (direct):
Ho: 0.717 0.343 0.750
Ho: 0.283 0.657 0.250
Ho: 0.615 0.959 0.750
Ho: 0.385 0.041 0.250
Ho: 0.839 0.695 0.997
Ho: 0.161 0.305 0.497
Ho: 0.839 0.695 0.503
Ho: 0.161 0.305 0.003
Tl: 0.302 0.609 0.750
Tl: 0.698 0.391 0.250
Te: 0.187 0.026 0.750
Te: 0.813 0.974 0.250

=====

Record 5
A plane-wave DFT calculation with PBE-GGA was carried out for a relaxed Ho6TlTe5 crystal.

Results
**E**: -0.18090 Ha/atom
**Formation energy without anion corrections**: -1127 meV per atom
**Space-group type**: No. 12

a = 7.539 Å, b = 7.559 Å, c = 7.539 Å
α = 59.91°, β = 80.45°, γ = 70.68°
Positions (direct):
Tl: 0.000 0.000 0.000
Te: 0.500 0.172 0.657
Te: 0.000 0.335 0.330
Te: 0.500 0.500 0.000
Te: 0.000 0.665 0.670
Te: 0.500 0.828 0.343
Ho: 0.758 0.080 0.324
Ho: 0.242 0.596 0.324
Ho: 0.247 0.239 0.000
Ho: 0.753 0.761 0.000
Ho: 0.758 0.404 0.676
Ho: 0.242 0.920 0.676

=====

Record 6
A plane-wave DFT calculation with PBE-GGA was carried out for a relaxed HoTlTe4 crystal.

Results
**E**: -0.14461 Ha/atom
**Formation energy without anion corrections**: -683 meV per atom
**Space-group type**: No. 125

a = 6.820 Å, b = 6.820 Å, c = 8.731 Å
α = 90.00°, β = 90.00°, γ = 90.00°
Positions (direct):
Ho: 0.500 0.500 0.000
Ho: 0.000 0.000 0.000
Tl: 0.500 0.500 0.500
Tl: 0.000 0.000 0.500
Te: 0.647 0.853 0.211
Te: 0.147 0.647 0.211
Te: 0.853 0.353 0.211
Te: 0.647 0.147 0.789
Te: 0.353 0.853 0.789
Te: 0.353 0.147 0.211
Te: 0.853 0.647 0.789
Te: 0.147 0.353 0.789

=====

Record 7
A plane-wave DFT calculation with PBE-GGA was carried out for a relaxed Ho3TlTe2 crystal.

Results
**Relative energy among the computed polymorphs**: 0 meV/atom
**E**: -0.17309 Ha/atom
**Formation energy without anion corrections**: -980 meV per atom
**Space-group type**: No. 71

a = 4.238 Å, b = 6.166 Å, c = 7.690 Å
α = 113.64°, β = 105.99°, γ = 90.00°
Positions (direct):
Ho: 0.836 0.336 0.173
Ho: 0.164 0.664 0.827
Ho: 0.500 0.000 0.500
Tl: 0.500 0.500 0.500
Te: 0.831 0.831 0.162
Te: 0.169 0.169 0.838

=====

Record 8
A plane-wave DFT calculation with PBE-GGA was carried out for a relaxed HoTl5Te4 crystal.

Results
**E**: -0.12728 Ha/atom
**Formation energy without anion corrections**: -566 meV per atom
**Space-group type**: No. 12

a = 4.605 Å, b = 9.001 Å, c = 10.347 Å
α = 115.80°, β = 102.86°, γ = 90.00°
Positions (direct):
Ho: 0.500 0.000 0.000
Tl: 0.795 0.673 0.591
Tl: 0.851 0.211 0.701
Tl: 0.149 0.789 0.299
Tl: 0.500 0.500 0.000
Tl: 0.205 0.327 0.409
Te: 0.338 0.952 0.677
Te: 0.963 0.740 0.925
Te: 0.662 0.048 0.323
Te: 0.037 0.260 0.075

=====

Record 9
A plane-wave DFT calculation with PBE-GGA was carried out for a relaxed Ho6TlTe2 crystal.

Results
**E**: -0.16764 Ha/atom
**Formation energy without anion corrections**: -549 meV per atom
**Space-group type**: No. 12

a = 3.878 Å, b = 7.998 Å, c = 9.016 Å
α = 96.92°, β = 90.00°, γ = 104.03°
Positions (direct):
Ho: 0.936 0.871 0.816
Ho: 0.761 0.521 0.175
Ho: 0.239 0.479 0.825
Ho: 0.659 0.317 0.501
Ho: 0.341 0.683 0.499
Ho: 0.064 0.129 0.184
Tl: 0.000 0.000 0.500
Te: 0.602 0.203 0.916
Te: 0.398 0.797 0.084

=====

Record 10
A plane-wave DFT calculation with PBE-GGA was carried out for a relaxed HoTlTe2 crystal.

Results
**E**: -0.15993 Ha/atom
**Formation energy without anion corrections**: -1045 meV per atom
**Space-group type**: No. 166

a = 8.578 Å, b = 8.578 Å, c = 8.578 Å
α = 29.99°, β = 29.99°, γ = 29.99°
Positions (direct):
Tl: 0.500 0.500 0.500
Te: 0.737 0.737 0.737
Te: 0.263 0.263 0.263
Ho: 0.000 0.000 0.000

=====

Record 11
A plane-wave DFT calculation with PBE-GGA was carried out for a relaxed HoTl3Te3 crystal.

Results
**E**: -0.13690 Ha/atom
**Formation energy without anion corrections**: -711 meV per atom
**Space-group type**: No. 11

a = 4.501 Å, b = 9.515 Å, c = 13.085 Å
α = 90.31°, β = 90.00°, γ = 90.00°
Positions (direct):
Ho: 0.250 0.880 0.379
Ho: 0.750 0.120 0.621
Tl: 0.250 0.377 0.369
Tl: 0.750 0.623 0.631
Tl: 0.250 0.870 0.873
Tl: 0.750 0.130 0.127
Tl: 0.250 0.354 0.862
Tl: 0.750 0.646 0.138
Te: 0.250 0.344 0.617
Te: 0.750 0.656 0.383
Te: 0.250 0.896 0.615
Te: 0.750 0.104 0.385
Te: 0.250 0.888 0.143
Te: 0.750 0.112 0.857

=====

Record 12
A plane-wave DFT calculation with PBE-GGA was carried out for a relaxed Ho10Tl3Te3 crystal.

Results
**E**: -0.16689 Ha/atom
**Formation energy without anion corrections**: -648 meV per atom
**Space-group type**: No. 189

a = 6.396 Å, b = 8.965 Å, c = 8.965 Å
α = 120.00°, β = 90.00°, γ = 90.00°
Positions (direct):
Ho: 0.251 0.667 0.333
Ho: 0.251 0.333 0.667
Ho: 0.749 0.333 0.667
Ho: 0.749 0.667 0.333
Ho: 0.500 0.000 0.763
Ho: 0.500 0.763 0.000
Ho: 0.500 0.237 0.237
Ho: 0.000 0.000 0.242
Ho: 0.000 0.242 0.000
Ho: 0.000 0.758 0.758
Tl: 0.500 0.000 0.392
Tl: 0.500 0.392 0.000
Tl: 0.500 0.608 0.608
Te: 0.000 0.000 0.612
Te: 0.000 0.612 0.000
Te: 0.000 0.388 0.388

=====

Record 13
A plane-wave DFT calculation with PBE-GGA was carried out for a relaxed Ho3TlTe2 crystal.

Results
**Relative energy among the computed polymorphs**: 18 meV/atom
**E**: -0.17244 Ha/atom
**Formation energy without anion corrections**: -962 meV per atom
**Space-group type**: No. 14

a = 6.168 Å, b = 8.687 Å, c = 13.122 Å
α = 90.00°, β = 90.00°, γ = 89.99°
Positions (direct):
Ho: 0.251 0.620 0.581
Ho: 0.251 0.120 0.919
Ho: 0.250 0.636 0.920
Ho: 0.250 0.136 0.580
Ho: 0.249 0.625 0.250
Ho: 0.249 0.125 0.250
Ho: 0.751 0.875 0.750
Ho: 0.751 0.375 0.750
Ho: 0.750 0.864 0.420
Ho: 0.750 0.364 0.080
Ho: 0.749 0.880 0.081
Ho: 0.749 0.380 0.419
Tl: 0.249 0.875 0.087
Tl: 0.249 0.375 0.413
Tl: 0.751 0.625 0.587
Tl: 0.751 0.125 0.913
Te: 0.251 0.877 0.745
Te: 0.251 0.377 0.755
Te: 0.250 0.878 0.418
Te: 0.250 0.378 0.082
Te: 0.750 0.622 0.918
Te: 0.750 0.122 0.582
Te: 0.749 0.623 0.245
Te: 0.749 0.123 0.255

=====

Record 14
A plane-wave DFT calculation with PBE-GGA was carried out for a relaxed HoTlTe2 crystal.

Results
**E**: -0.15945 Ha/atom
**Formation energy without anion corrections**: -1032 meV per atom
**Space-group type**: No. 160

a = 4.415 Å, b = 4.415 Å, c = 8.722 Å
α = 75.34°, β = 75.34°, γ = 60.00°
Positions (direct):
Ho: 0.667 0.667 0.998
Tl: 0.499 0.499 0.503
Te: 0.070 0.070 0.789
Te: 0.264 0.264 0.209

=====

Record 15
A plane-wave DFT calculation with PBE-GGA was carried out for a relaxed HoTm2Tl3Te6 crystal.

Results
**E**: -0.15887 Ha/atom
**Formation energy without anion corrections**: -1034 meV per atom
**Space-group type**: No. 12

a = 7.653 Å, b = 7.653 Å, c = 8.578 Å
α = 98.56°, β = 98.56°, γ = 120.00°
Positions (direct):
Ho: 0.000 0.000 0.000
Tm: 0.333 0.667 0.000
Tm: 0.667 0.333 0.000
Tl: 0.166 0.834 0.500
Tl: 0.834 0.166 0.500
Tl: 0.500 0.500 0.500
Te: 0.930 0.594 0.789
Te: 0.735 0.735 0.211
Te: 0.070 0.406 0.211
Te: 0.594 0.930 0.789
Te: 0.265 0.265 0.789
Te: 0.406 0.070 0.211

=====

Record 16
A plane-wave DFT calculation with PBE-GGA was carried out for a relaxed Ho3TmTl4Te8 crystal.

Results
**E**: -0.15955 Ha/atom
**Formation energy without anion corrections**: -1041 meV per atom
**Space-group type**: No. 166

a = 8.860 Å, b = 9.655 Å, c = 8.860 Å
α = 117.31°, β = 120.00°, γ = 90.00°
Positions (direct):
Ho: 0.500 0.500 0.000
Ho: 0.500 0.500 0.500
Ho: 0.000 0.500 0.500
Tm: 0.000 0.500 0.000
Tl: 0.500 0.000 0.000
Tl: 0.500 0.000 0.500
Tl: 0.000 0.000 0.000
Tl: 0.000 0.000 0.500
Te: 0.236 0.711 0.975
Te: 0.236 0.711 0.473
Te: 0.262 0.288 0.525
Te: 0.739 0.711 0.975
Te: 0.261 0.289 0.025
Te: 0.738 0.712 0.475
Te: 0.764 0.289 0.527
Te: 0.764 0.289 0.025

=====

Record 17
A plane-wave DFT calculation with PBE-GGA was carried out for a relaxed HoTm3Tl4Te8 crystal.

Results
**E**: -0.15872 Ha/atom
**Formation energy without anion corrections**: -1032 meV per atom
**Space-group type**: No. 166

a = 8.833 Å, b = 9.648 Å, c = 8.833 Å
α = 117.25°, β = 120.00°, γ = 90.00°
Positions (direct):
Ho: 0.000 0.500 0.000
Tm: 0.500 0.500 0.000
Tm: 0.500 0.500 0.500
Tm: 0.000 0.500 0.500
Tl: 0.500 0.000 0.000
Tl: 0.500 0.000 0.500
Tl: 0.000 0.000 0.000
Tl: 0.000 0.000 0.500
Te: 0.238 0.711 0.973
Te: 0.238 0.711 0.476
Te: 0.263 0.290 0.527
Te: 0.735 0.711 0.973
Te: 0.265 0.289 0.027
Te: 0.737 0.710 0.473
Te: 0.762 0.289 0.524
Te: 0.762 0.289 0.027

=====

Record 18
A plane-wave DFT calculation with PBE-GGA was carried out for a relaxed Ho3TmTl3Te8 crystal.

Results
**E**: -0.16191 Ha/atom
**Formation energy without anion corrections**: -1043 meV per atom
**Space-group type**: No. 12

a = 8.734 Å, b = 8.748 Å, c = 9.635 Å
α = 117.06°, β = 90.00°, γ = 119.97°
Positions (direct):
Ho: 0.500 0.000 0.500
Ho: 0.500 0.500 0.500
Ho: 0.000 0.500 0.500
Tm: 0.000 0.000 0.500
Tl: 0.000 0.000 0.000
Tl: 0.000 0.500 0.000
Tl: 0.500 0.500 0.000
Te: 0.262 0.523 0.285
Te: 0.738 0.477 0.715
Te: 0.762 0.525 0.287
Te: 0.238 0.475 0.713
Te: 0.762 0.024 0.287
Te: 0.238 0.976 0.713
Te: 0.262 0.024 0.287
Te: 0.738 0.976 0.713

=====

Record 19
A plane-wave DFT calculation with PBE-GGA was carried out for a relaxed HoU3Tl3Te8 crystal.

Results
**E**: -0.19831 Ha/atom
**Formation energy without anion corrections**: -685 meV per atom
**Space-group type**: No. 166

a = 8.783 Å, b = 8.783 Å, c = 9.751 Å
α = 116.78°, β = 90.00°, γ = 120.00°
Positions (direct):
Ho: 0.000 0.000 0.500
U: 0.500 0.000 0.500
U: 0.500 0.500 0.500
U: 0.000 0.500 0.500
Tl: 0.000 0.000 0.000
Tl: 0.000 0.500 0.000
Tl: 0.500 0.500 0.000
Te: 0.261 0.522 0.283
Te: 0.739 0.478 0.717
Te: 0.762 0.524 0.286
Te: 0.238 0.476 0.714
Te: 0.762 0.024 0.287
Te: 0.238 0.976 0.713
Te: 0.262 0.024 0.287
Te: 0.738 0.976 0.713

=====

Record 20
A plane-wave DFT calculation with PBE-GGA was carried out for a relaxed Ho2UTl2Te6 crystal.

Results
**E**: -0.18098 Ha/atom
**Formation energy without anion corrections**: -922 meV per atom
**Space-group type**: No. 12

a = 7.604 Å, b = 7.604 Å, c = 8.651 Å
α = 98.50°, β = 98.50°, γ = 120.09°
Positions (direct):
Ho: 0.332 0.668 0.500
Ho: 0.668 0.332 0.500
U: 0.000 0.000 0.500
Tl: 0.834 0.166 0.000
Tl: 0.166 0.834 0.000
Te: 0.738 0.738 0.712
Te: 0.073 0.403 0.712
Te: 0.262 0.262 0.288
Te: 0.403 0.073 0.712
Te: 0.927 0.597 0.288
Te: 0.597 0.927 0.288